Material: B2PbBr
Method: DFT, SCAN
State: single point on PBEsol structure

Values from the calculation:
**D(E_F)**: 0.507 states/eV per atom
**E_form (uncorrected)**: 1.96 eV/atom
**Crystal system**: cubic
**VASP energy**: -25.5633 eV per atom

abc: 6.5017 6.5017 6.5017
angles: 90.00 90.00 90.00
Space group Fm-3m (No. 225)
Symmetry-distinct sites (fractional):
B1 0.2500 0.2500 0.2500
Pb1 0.0000 0.0000 0.0000
Br1 0.0000 0.0000 0.5000

Material: CsLi2Sc2
Method: DFT, SCAN
State: single point on PBEsol structure

Values from the calculation:
**DFT formation energy**: 0.478 eV/atom
**D(E_F)**: 0.655 states/eV per atom
**Crystal system**: tetragonal
**VASP energy**: -13.7347 eV per atom

abc: 4.1451 4.1451 20.0368
angles: 90.00 90.00 90.00
Space group I4/mmm (No. 139)
Symmetry-distinct sites (fractional):
Cs1 0.0000 0.0000 0.0000
Li1 0.0000 0.0000 0.3664
Sc1 0.0000 0.5000 0.2500

Material: Cd2PbAu
Method: DFT, SCAN
State: single point on PBEsol structure

Values from the calculation:
**DFT formation energy**: -0.082 eV/atom
**D(E_F)**: 0.294 states/eV per atom
**Crystal system**: orthorhombic
**VASP energy**: -51.5234 eV per atom

abc: 3.1442 4.6120 12.9353
angles: 90.00 90.00 90.00
Space group Imm2 (No. 44)
Symmetry-distinct sites (fractional):
Cd1 0.0000 0.0000 0.0000
Cd2 0.0000 0.5000 0.1726
Pb1 0.0000 0.5000 0.7880
Au1 0.0000 0.0000 0.4882

Material: BaY2Ir2
Method: DFT, SCAN
State: single point on PBEsol structure

Values from the calculation:
**DFT formation energy**: -0.660 eV/atom
**D(E_F)**: 0.427 states/eV per atom
**Crystal system**: tetragonal
**VASP energy**: -48.1467 eV per atom

abc: 4.6725 4.6725 11.7525
angles: 90.00 90.00 90.00
Space group I4/mmm (No. 139)
Symmetry-distinct sites (fractional):
Ba1 0.0000 0.0000 0.0000
Y1 0.0000 0.5000 0.2500
Ir1 0.0000 0.0000 0.3904